Ac4Zn3In after structural relaxation. Source: Alexandria via LeMat-Bulk, functional PBE.

Cell and atoms, written as POSCAR:
```
Ac4Zn3In
1.0
2.796 1.615 9.171
-2.796 1.615 9.171
0.000 -3.229 9.171
Ac Zn In
4 3 1
Direct
0.121 0.121 0.121
0.371 0.371 0.371
0.629 0.629 0.629
0.879 0.879 0.879
0.000 0.000 0.000
0.249 0.249 0.249
0.751 0.751 0.751
0.500 0.500 0.500
```

Values from the calculation:
Relative energy among the computed polymorphs in eV per atom: 0.000
Density of states at the Fermi level in states/eV/atom: 1.05
ΔH_f (0 K) in eV/atom: -0.2820